The following is a PBE calculation of an optimized crystal structure of ZrSc4As, from Alexandria.

Structure (POSCAR):
```
ZrSc4As
1.0
0.000 4.116 4.116
4.116 0.000 4.116
4.116 4.116 0.000
Zr Sc As
1 4 1
Cartesian
6.175 6.175 6.175
3.100 5.133 5.133
5.133 5.133 3.100
5.133 3.100 5.133
3.100 3.100 3.100
0.000 0.000 0.000
```

Summary:
Energy relative to the elements: 0.23 eV/atom
SG: F-43m, No. 216

The following is a PBE calculation of an optimized crystal structure of ZrSc4As5, from Alexandria.

Structure (POSCAR):
```
ZrSc4As5
1.0
3.798 0.000 -0.733
-0.282 5.269 -1.462
0.011 0.006 10.267
Zr Sc As
1 4 5
Cartesian
0.000 0.000 0.000
1.414 2.110 7.327
2.819 4.218 4.402
0.708 1.057 3.670
2.113 3.165 0.745
2.255 0.532 1.482
2.961 1.585 5.140
0.566 3.689 2.932
-0.141 2.634 -0.731
1.271 4.742 6.590
```

Summary:
Energy relative to the elements: -1.34 eV/atom
SG: Immm, No. 71

The following is a PBE calculation of an optimized crystal structure of ZrScAs2, from Alexandria.

Structure (POSCAR):
```
ZrScAs2
1.0
8.990 0.018 0.011
8.370 3.282 0.011
8.370 1.591 2.871
As Sc Zr
2 1 1
Cartesian
25.658 4.878 2.884
6.518 1.239 0.733
13.051 2.481 1.467
19.098 3.631 2.147
```

Summary:
Energy relative to the elements: -0.16 eV/atom
SG: R3m, No. 160

The following is a PBE calculation of an optimized crystal structure of ZrSc2As, from Alexandria.

Structure (POSCAR):
```
ZrSc2As
1.0
8.764 -0.013 -0.008
8.060 3.443 -0.008
8.060 1.643 3.026
As Sc Zr
1 2 1
Cartesian
6.221 1.268 0.753
24.461 4.988 2.959
12.865 2.623 1.556
18.663 3.805 2.258
```

Summary:
Energy relative to the elements: -0.44 eV/atom
SG: R-3m, No. 166

The following is a PBE calculation of an optimized crystal structure of Zr2ScAs, from Alexandria.

Structure (POSCAR):
```
Zr2ScAs
1.0
5.501 0.003 0.005
4.394 3.309 0.005
2.649 0.887 4.727
As Sc Zr
1 1 2
Cartesian
5.896 1.973 1.758
3.038 1.017 1.691
2.628 0.879 4.660
9.904 3.314 3.724
```

Summary:
Energy relative to the elements: -0.48 eV/atom
SG: Cm, No. 8

The following is a PBE calculation of an optimized crystal structure of As3Se, from Alexandria.

Structure (POSCAR):
```
As3Se
1.0
6.158 0.002 -0.043
4.986 3.614 -0.043
-1.121 -0.364 3.917
As Se
3 1
Cartesian
5.012 1.626 1.916
7.492 2.431 2.688
2.532 0.822 1.144
0.000 0.000 0.000
```

Summary:
Formation energy (no corrections): 0.0822 eV/atom
Relative energy among the computed polymorphs: 2 meV per atom
SG: C2/m, No. 12

| no. | electronic total energy (eV/f.u.) |
| --- | --- |
| 1 | -37.1 |
| 2 | -70.5 |
| 3 | -24.8 |
| 4 | -27.6 |
| 5 | -30.0 |
| 6 | -17.1 |